Compound: Ta2Mn4O9
Source: the Alexandria database
Functional: GGA+U
Structure: optimized geometry

## Properties
The calculation puts the magnetization at 40.00 μB/cell. The energy above the most stable polymorph in this dataset is 15.1 meV per atom. The space group is Cc, No. 9. The calculation puts the total DFT energy (no corrections) at -8.7921 eV per atom.

abc: 5.704 5.704 13.412
angles: 92.44 92.44 56.39
Fractional coordinates of all 30 atoms:
Ta: 0.007 0.993 0.500
Ta: 0.647 0.679 0.825
Ta: 0.679 0.647 0.325
Ta: 0.993 0.007 0.000
Mn: 0.278 0.303 0.928
Mn: 0.303 0.278 0.428
Mn: 0.318 0.328 0.666
Mn: 0.328 0.318 0.166
Mn: 0.616 0.617 0.091
Mn: 0.617 0.616 0.591
Mn: 0.934 0.963 0.758
Mn: 0.963 0.934 0.258
O: 0.048 0.302 0.059
O: 0.082 0.494 0.297
O: 0.151 0.774 0.115
O: 0.228 0.604 0.533
O: 0.276 0.892 0.369
O: 0.302 0.048 0.559
O: 0.379 0.658 0.743
O: 0.418 0.815 0.950
O: 0.494 0.082 0.797
O: 0.594 0.891 0.209
O: 0.604 0.228 0.033
O: 0.658 0.379 0.243
O: 0.740 0.966 0.407
O: 0.774 0.151 0.615
O: 0.815 0.418 0.450
O: 0.891 0.594 0.709
O: 0.892 0.276 0.869
O: 0.966 0.740 0.907